Material: LiCa4Ir
Method: DFT, PBE
State: optimized geometry

Results
Total moment ... 0.0000 μB/atom
Crystal system ... monoclinic
SG ... C2/c, No. 15
Formation energy from the elements ... -202.2 meV per atom
ρ ... 3.18 g cm⁻³

Cell and atoms, written as CIF:
```
data_LiCa4Ir
_chemical_formula_sum 'Li2 Ca8 Ir2'
_cell_length_a 6.378
_cell_length_b 8.218
_cell_length_c 8.218
_cell_angle_alpha 111.58
_cell_angle_beta 101.33
_cell_angle_gamma 101.33
_symmetry_space_group_name_H-M 'P 1'
_symmetry_Int_Tables_number 1
loop_
_symmetry_equiv_pos_as_xyz
'x,y,z'
loop_
_atom_site_label
_atom_site_type_symbol
_atom_site_fract_x
_atom_site_fract_y
_atom_site_fract_z
Li1 Li 0.750 0.625 0.375
Li2 Li 0.250 0.375 0.625
Ca1 Ca 0.867 0.655 0.805
Ca2 Ca 0.057 0.938 0.270
Ca3 Ca 0.633 0.195 0.345
Ca4 Ca 0.443 0.730 0.062
Ca5 Ca 0.557 0.270 0.938
Ca6 Ca 0.367 0.805 0.655
Ca7 Ca 0.943 0.062 0.730
Ca8 Ca 0.133 0.345 0.195
Ir1 Ir 0.250 0.000 0.000
Ir2 Ir 0.750 0.000 0.000
```

---

Material: LiCaIr
Method: DFT, PBE
State: optimized geometry

Results
Total moment ... 0.0000 μB/atom
Crystal system ... monoclinic
SG ... Cc, No. 9
Formation energy from the elements ... -232.6 meV per atom
ρ ... 6.21 g cm⁻³

Cell and atoms, written as CIF:
```
data_LiCaIr
_chemical_formula_sum 'Li2 Ca2 Ir2'
_cell_length_a 5.745
_cell_length_b 7.361
_cell_length_c 4.634
_cell_angle_alpha 90.00
_cell_angle_beta 113.80
_cell_angle_gamma 50.14
_symmetry_space_group_name_H-M 'P 1'
_symmetry_Int_Tables_number 1
loop_
_symmetry_equiv_pos_as_xyz
'x,y,z'
loop_
_atom_site_label
_atom_site_type_symbol
_atom_site_fract_x
_atom_site_fract_y
_atom_site_fract_z
Li1 Li 0.299 0.704 0.128
Li2 Li 0.299 0.458 0.627
Ca1 Ca 0.619 0.112 0.287
Ca2 Ca 0.619 0.731 0.787
Ir1 Ir 0.991 0.182 0.971
Ir2 Ir 0.991 0.289 0.472
```

---

Material: LiCaIr4
Method: DFT, PBE
State: optimized geometry

Results
Total moment ... 0.0001 μB/atom
Crystal system ... cubic
SG ... F-43m, No. 216
Formation energy from the elements ... -193.3 meV per atom
ρ ... 13.08 g cm⁻³

Cell and atoms, written as CIF:
```
data_LiCaIr4
_chemical_formula_sum 'Li1 Ca1 Ir4'
_cell_length_a 5.272
_cell_length_b 5.272
_cell_length_c 5.272
_cell_angle_alpha 60.00
_cell_angle_beta 60.00
_cell_angle_gamma 60.00
_symmetry_space_group_name_H-M 'P 1'
_symmetry_Int_Tables_number 1
loop_
_symmetry_equiv_pos_as_xyz
'x,y,z'
loop_
_atom_site_label
_atom_site_type_symbol
_atom_site_fract_x
_atom_site_fract_y
_atom_site_fract_z
Li1 Li 0.750 0.750 0.750
Ca1 Ca 0.000 0.000 0.000
Ir1 Ir 0.375 0.874 0.375
Ir2 Ir 0.874 0.375 0.375
Ir3 Ir 0.375 0.375 0.874
Ir4 Ir 0.375 0.375 0.375
```